(1)
A relaxed Pu2Th3Se8 crystal, computed with PBE.

Raw formation energy, meV per atom: -1554

Cell and atoms, written as POSCAR:
```
Pu2Th3Se8
1.0
7.832 0.000 0.000
0.000 4.355 0.000
-2.818 0.000 11.616
Pu Th Se
2 3 8
Direct
0.233 0.000 0.258
0.767 0.000 0.742
0.232 0.500 0.679
0.500 0.000 0.000
0.768 0.500 0.321
0.144 0.500 0.400
0.154 0.000 0.842
0.389 0.500 0.136
0.411 0.000 0.609
0.589 0.000 0.391
0.611 0.500 0.864
0.846 0.000 0.158
0.856 0.500 0.600
```

---

(2)
A relaxed Pu2Th3Se8 crystal, computed with PBE.

Raw formation energy, meV per atom: -1542

Cell and atoms, written as POSCAR:
```
Pu2Th3Se8
1.0
7.387 -4.285 0.000
7.387 4.285 0.000
-2.468 0.000 6.755
Pu Th Se
2 3 8
Direct
0.240 0.240 0.157
0.760 0.760 0.843
0.240 0.760 0.500
0.500 0.500 0.000
0.760 0.240 0.500
0.115 0.115 0.413
0.143 0.612 0.084
0.383 0.383 0.578
0.388 0.857 0.916
0.612 0.143 0.084
0.617 0.617 0.422
0.857 0.388 0.916
0.885 0.885 0.587
```

---

(3)
A relaxed Pu5Th3Se8 crystal, computed with PBE.

Raw formation energy, meV per atom: -1540

Cell and atoms, written as POSCAR:
```
Pu5Th3Se8
1.0
4.149 2.395 6.834
-4.149 2.395 6.834
0.000 -4.791 6.834
Pu Th Se
5 3 8
Direct
0.000 0.000 0.000
0.000 0.500 0.500
0.500 0.000 0.500
0.500 0.500 0.000
0.500 0.500 0.500
0.000 0.000 0.500
0.000 0.500 0.000
0.500 0.000 0.000
0.250 0.250 0.743
0.250 0.743 0.250
0.253 0.253 0.253
0.257 0.750 0.750
0.743 0.250 0.250
0.747 0.747 0.747
0.750 0.257 0.750
0.750 0.750 0.257
```

---

(4)
A relaxed PuTh3Se4 crystal, computed with PBE.

Raw formation energy, meV per atom: -1546

Cell and atoms, written as POSCAR:
```
PuTh3Se4
1.0
7.276 0.000 0.000
0.000 8.433 0.000
-2.433 0.000 6.765
Pu Th Se
2 6 8
Direct
0.000 0.127 0.250
0.000 0.873 0.750
0.000 0.375 0.750
0.000 0.625 0.250
0.500 0.124 0.750
0.500 0.374 0.250
0.500 0.626 0.750
0.500 0.876 0.250
0.242 0.121 0.999
0.242 0.879 0.499
0.247 0.372 0.498
0.247 0.628 0.998
0.753 0.372 0.002
0.753 0.628 0.502
0.758 0.121 0.501
0.758 0.879 0.001
```

---

(5)
A relaxed Pu4Th3Se8 crystal, computed with PBE.

Raw formation energy, meV per atom: -1556

Cell and atoms, written as POSCAR:
```
Pu4Th3Se8
1.0
5.880 -5.882 0.000
5.880 5.882 0.000
-5.879 0.000 5.896
Pu Th Se
4 3 8
Direct
0.000 0.000 0.000
0.000 0.000 0.500
0.000 0.500 0.000
0.500 0.000 0.000
0.000 0.500 0.500
0.500 0.000 0.500
0.500 0.500 0.000
0.247 0.753 0.000
0.250 0.250 0.001
0.252 0.748 0.500
0.254 0.254 0.497
0.746 0.746 0.503
0.748 0.252 0.500
0.750 0.750 0.999
0.753 0.247 0.000
```

---

(6)
A relaxed Pu3Th5Se8 crystal, computed with PBE.

Raw formation energy, meV per atom: -1550

Cell and atoms, written as POSCAR:
```
Pu3Th5Se8
1.0
4.141 2.391 6.931
-4.141 2.391 6.931
0.000 -4.782 6.931
Pu Th Se
3 5 8
Direct
0.000 0.500 0.500
0.500 0.000 0.500
0.500 0.500 0.000
0.000 0.000 0.000
0.000 0.000 0.500
0.000 0.500 0.000
0.500 0.000 0.000
0.500 0.500 0.500
0.250 0.250 0.743
0.250 0.743 0.250
0.254 0.254 0.254
0.257 0.750 0.750
0.743 0.250 0.250
0.746 0.746 0.746
0.750 0.257 0.750
0.750 0.750 0.257
```

---

(7)
A relaxed PuTh5Se6 crystal, computed with PBE.

Raw formation energy, meV per atom: -1548

Cell and atoms, written as POSCAR:
```
PuTh5Se6
1.0
3.635 -6.268 0.000
3.635 6.268 0.000
-2.398 0.000 6.859
Pu Th Se
1 5 6
Direct
0.000 0.000 0.000
0.169 0.831 0.500
0.334 0.666 0.000
0.500 0.500 0.500
0.666 0.334 0.000
0.831 0.169 0.500
0.082 0.409 0.245
0.245 0.245 0.751
0.409 0.082 0.245
0.591 0.918 0.755
0.755 0.755 0.249
0.918 0.591 0.755
```

---

(8)
A relaxed PuThSe3 crystal, computed with PBE.

Raw formation energy, meV per atom: -1652

Cell and atoms, written as POSCAR:
```
PuThSe3
1.0
7.873 0.000 0.000
0.000 4.161 0.000
0.000 0.000 16.059
Pu Th Se
4 4 12
Direct
0.108 0.250 0.211
0.392 0.750 0.711
0.608 0.250 0.289
0.892 0.750 0.789
0.245 0.750 0.457
0.255 0.250 0.957
0.745 0.750 0.043
0.755 0.250 0.543
0.006 0.250 0.398
0.125 0.750 0.072
0.166 0.250 0.777
0.334 0.750 0.277
0.375 0.250 0.572
0.494 0.750 0.898
0.506 0.250 0.102
0.625 0.750 0.428
0.666 0.250 0.723
0.834 0.750 0.223
0.875 0.250 0.928
0.994 0.750 0.602
```

---

(9)
A relaxed PuTh6Se12 crystal, computed with PBE.

Raw formation energy, meV per atom: -1617

Cell and atoms, written as POSCAR:
```
PuTh6Se12
1.0
6.514 3.761 3.898
-6.514 3.761 3.898
0.000 -7.522 3.898
Pu Th Se
1 6 12
Direct
0.000 0.000 0.000
0.137 0.306 0.629
0.306 0.629 0.137
0.371 0.863 0.694
0.629 0.137 0.306
0.694 0.371 0.863
0.863 0.694 0.371
0.050 0.937 0.671
0.063 0.329 0.950
0.174 0.565 0.424
0.329 0.950 0.063
0.424 0.174 0.565
0.435 0.576 0.826
0.565 0.424 0.174
0.576 0.826 0.435
0.671 0.050 0.937
0.826 0.435 0.576
0.937 0.671 0.050
0.950 0.063 0.329
```

---

(10)
A relaxed Pu2Th2Se7 crystal, computed with PBE.

Raw formation energy, meV per atom: -1369

Cell and atoms, written as POSCAR:
```
Pu2Th2Se7
1.0
4.835 -5.018 0.000
4.835 5.018 0.000
0.000 0.000 6.998
Pu Th Se
2 2 7
Direct
0.231 0.769 0.000
0.769 0.231 0.000
0.231 0.231 0.500
0.769 0.769 0.500
0.000 0.000 0.251
0.000 0.000 0.749
0.000 0.500 0.259
0.000 0.500 0.741
0.500 0.000 0.259
0.500 0.000 0.741
0.500 0.500 0.000
```

---

(11)
A relaxed Pu2ThSe4 crystal, computed with PBE.

Raw formation energy, meV per atom: -1547

Cell and atoms, written as POSCAR:
```
Pu2ThSe4
1.0
2.039 -6.815 0.000
2.039 6.815 0.000
0.000 0.000 13.853
Pu Th Se
4 2 8
Direct
0.134 0.866 0.565
0.134 0.866 0.935
0.866 0.134 0.065
0.866 0.134 0.435
0.378 0.622 0.750
0.622 0.378 0.250
0.033 0.967 0.750
0.226 0.774 0.126
0.226 0.774 0.374
0.500 0.500 0.000
0.500 0.500 0.500
0.774 0.226 0.626
0.774 0.226 0.874
0.967 0.033 0.250
```

---

(12)
A relaxed PuThSe3 crystal, computed with PBE.

Raw formation energy, meV per atom: -1497

Cell and atoms, written as POSCAR:
```
PuThSe3
1.0
2.146 -10.248 0.000
2.146 10.248 0.000
0.000 0.000 7.400
Pu Th Se
2 2 6
Direct
0.161 0.839 0.500
0.839 0.161 0.000
0.342 0.658 0.506
0.658 0.342 0.006
0.089 0.911 0.838
0.250 0.750 0.168
0.410 0.590 0.836
0.590 0.410 0.336
0.750 0.250 0.668
0.911 0.089 0.338
```